# CeHoBi

CeHoBi after structural relaxation (PBE, Alexandria via LeMat-Bulk).

The formation enthalpy at 0 K comes out at -0.8 eV per formula unit. As for the total magnetic moment: 1.6 μB/f.u.

Lattice parameters (Å, degrees): 8.8902 8.8902 8.8902 33.48 33.48 33.48
With the nearest neighbours (Å) after each atom.
Atoms (fractional coordinates):
Ce: 0.1438 0.1438 0.1438  3 Ce 3.17, 3 Bi 3.34
Ce: 0.8562 0.8562 0.8562  3 Ce 3.17, 3 Bi 3.34
Ho: 0.2874 0.2874 0.2874  4 Bi 3.09-3.22
Ho: 0.7126 0.7126 0.7126  4 Bi 3.09-3.22
Bi: 0.4156 0.4156 0.4156  4 Ho 3.09-3.22, 3 Ce 3.34
Bi: 0.5844 0.5844 0.5844  4 Ho 3.09-3.22, 3 Ce 3.34

=====

# TlGa11Pd

TlGa11Pd after structural relaxation (PBE, Alexandria via LeMat-Bulk).

The formation enthalpy at 0 K comes out at -0.6 eV per formula unit. As for the total magnetic moment: 0.0 μB/f.u.

Lattice parameters (Å, degrees): 6.8344 6.8344 7.9107 94.50 94.50 134.30
With the nearest neighbours (Å) after each atom.
Atoms (fractional coordinates):
Tl: 0.0000 0.0000 0.0000  12 Ga 3.28-3.61
Ga: 0.0000 0.0000 0.5000  2 Pd 2.65, 8 Ga 2.76-2.89
Ga: 0.0000 0.5000 0.0000  4 Ga 2.65-2.73
Ga: 0.0297 0.3784 0.3644  5 Ga 2.76-3.08, 1 Pd 2.79
Ga: 0.2515 0.4748 0.7609  1 Pd 2.72, 5 Ga 2.73-2.89
Ga: 0.3784 0.0297 0.3644  5 Ga 2.76-3.08, 1 Pd 2.79
Ga: 0.4748 0.2515 0.7609  1 Pd 2.72, 5 Ga 2.73-2.89
Ga: 0.5000 0.0000 0.0000  4 Ga 2.65-2.73
Ga: 0.5252 0.7485 0.2391  1 Pd 2.72, 5 Ga 2.73-2.89
Ga: 0.6216 0.9703 0.6356  5 Ga 2.76-3.08, 1 Pd 2.79
Ga: 0.7485 0.5252 0.2391  1 Pd 2.72, 5 Ga 2.73-2.89
Ga: 0.9703 0.6216 0.6356  5 Ga 2.76-3.08, 1 Pd 2.79
Pd: 0.5000 0.5000 0.5000  10 Ga 2.65-2.79

=====

# Si2NiSnC

Si2NiSnC after structural relaxation (PBE, Alexandria via LeMat-Bulk).

The calculation puts the formation energy (no corrections) at 0.82 eV/atom. As for the total magnetic moment: 0.0 μB/f.u.

Lattice parameters (Å, degrees): 4.8247 4.8247 3.5004 90.00 90.00 90.00
With the nearest neighbours (Å) after each atom.
Atoms (fractional coordinates):
Si: 0.0000 0.5000 0.0000  2 Ni 2.41
Si: 0.5000 0.0000 0.0000  2 Ni 2.41
Ni: 0.0000 0.0000 0.0000  2 C 1.75
Sn: 0.5000 0.5000 0.5000  8 Si 2.98
C: 0.0000 0.0000 0.5000  2 Ni 1.75

=====

# CaCd12Au6

CaCd12Au6 after structural relaxation (PBE, Alexandria via LeMat-Bulk).

The formation enthalpy at 0 K comes out at -3.2 eV per formula unit. As for the total magnetic moment: 0.0 μB/f.u.

Lattice parameters (Å, degrees): 7.9718 7.9718 7.9718 105.58 105.58 105.58
With the nearest neighbours (Å) after each atom.
Atoms (fractional coordinates):
Ca: 0.0000 0.0000 0.0000  6 Cd 3.39
Cd: 0.1139 0.5000 0.8861  4 Au 2.80-2.87, 3 Cd 2.89-3.05
Cd: 0.1139 0.8861 0.5000  4 Au 2.80-2.87, 3 Cd 2.89-3.05
Cd: 0.1396 0.3879 0.3879  4 Au 2.85-3.14, 4 Cd 3.05-3.15
Cd: 0.3879 0.1396 0.3879  4 Au 2.85-3.14, 4 Cd 3.05-3.15
Cd: 0.3879 0.3879 0.1396  4 Au 2.85-3.14, 4 Cd 3.05-3.15
Cd: 0.5000 0.1139 0.8861  4 Au 2.80-2.87, 3 Cd 2.89-3.05
Cd: 0.5000 0.8861 0.1139  4 Au 2.80-2.87, 3 Cd 2.89-3.05
Cd: 0.6121 0.6121 0.8604  4 Au 2.85-3.14, 4 Cd 3.05-3.15
Cd: 0.6121 0.8604 0.6121  4 Au 2.85-3.14, 4 Cd 3.05-3.15
Cd: 0.8604 0.6121 0.6121  4 Au 2.85-3.14, 4 Cd 3.05-3.15
Cd: 0.8861 0.1139 0.5000  4 Au 2.80-2.87, 3 Cd 2.89-3.05
Cd: 0.8861 0.5000 0.1139  4 Au 2.80-2.87, 3 Cd 2.89-3.05
Au: 0.2832 0.2832 0.7066  7 Cd 2.80-2.92
Au: 0.2832 0.7066 0.2832  7 Cd 2.80-2.92
Au: 0.2934 0.7168 0.7168  7 Cd 2.80-2.92
Au: 0.7066 0.2832 0.2832  7 Cd 2.80-2.92
Au: 0.7168 0.2934 0.7168  7 Cd 2.80-2.92
Au: 0.7168 0.7168 0.2934  7 Cd 2.80-2.92

=====

# MgCr2In

MgCr2In after structural relaxation (PBE, Alexandria via LeMat-Bulk).

The formation enthalpy at 0 K comes out at 0.8 eV per formula unit. As for the total magnetic moment: 0.2 μB/f.u.

Lattice parameters (Å, degrees): 3.1418 3.1418 6.9328 90.00 90.00 90.00
With the nearest neighbours (Å) after each atom.
Atoms (fractional coordinates):
Mg: 0.0000 0.0000 0.0000  5 Cr 2.87-2.90, 4 In 3.10, 4 Mg 3.14
Cr: 0.0000 0.0000 0.5815  4 Cr 2.47
Cr: 0.5000 0.5000 0.7372  4 Cr 2.47
In: 0.5000 0.5000 0.3112  5 Cr 2.91-2.95, 4 Mg 3.10, 4 In 3.14

=====

# YTeF3

YTeF3 after structural relaxation (PBE, Alexandria via LeMat-Bulk).

The calculation puts the formation energy (no corrections) at -1.13 eV/atom. As for the offset from the most stable computed form: 7.813 eV/f.u. As for the total magnetic moment: 0.0 μB/f.u.

Lattice parameters (Å, degrees): 4.7276 4.7276 4.7276 90.00 90.00 90.00
With the nearest neighbours (Å) after each atom.
Atoms (fractional coordinates):
Y: 0.0000 0.0000 0.0000  12 F 3.34
Te: 0.5000 0.5000 0.5000  6 F 2.36
F: 0.0000 0.5000 0.5000  2 Te 2.36
F: 0.5000 0.0000 0.5000  2 Te 2.36
F: 0.5000 0.5000 0.0000  2 Te 2.36

=====

# CdNiSe3

CdNiSe3 after structural relaxation (PBE, Alexandria via LeMat-Bulk).

The calculation puts the formation energy (no corrections) at 0.20 eV/atom. As for the offset from the most stable computed form: 0.000 eV/f.u. As for the total magnetic moment: 0.0 μB/f.u.

Lattice parameters (Å, degrees): 4.7680 4.7680 4.7680 90.00 90.00 90.00
With the nearest neighbours (Å) after each atom.
Atoms (fractional coordinates):
Cd: 0.0000 0.0000 0.0000  12 Se 3.37
Ni: 0.5000 0.5000 0.5000  6 Se 2.38
Se: 0.0000 0.5000 0.5000  2 Ni 2.38
Se: 0.5000 0.0000 0.5000  2 Ni 2.38
Se: 0.5000 0.5000 0.0000  2 Ni 2.38

=====

# Ti2CrPb

Ti2CrPb after structural relaxation (PBE, Alexandria via LeMat-Bulk).

The formation enthalpy at 0 K comes out at 0.2 eV per formula unit. As for the total magnetic moment: 0.0 μB/f.u.

Lattice parameters (Å, degrees): 3.2342 3.2342 6.6101 90.00 90.00 90.00
With the nearest neighbours (Å) after each atom.
Atoms (fractional coordinates):
Ti: 0.0000 0.0000 0.2035  4 Cr 2.65, 1 Ti 2.69
Ti: 0.0000 0.0000 0.7965  4 Cr 2.65, 1 Ti 2.69
Cr: 0.5000 0.5000 0.0000  8 Ti 2.65
Pb: 0.5000 0.5000 0.5000  8 Ti 3.01, 4 Pb 3.23, 2 Cr 3.31

=====

# TbSc2GaC

TbSc2GaC after structural relaxation (PBE, Alexandria via LeMat-Bulk).

The formation enthalpy at 0 K comes out at -2.8 eV per formula unit. As for the total magnetic moment: 0.0 μB/f.u.

Lattice parameters (Å, degrees): 4.5215 4.5215 4.8559 90.00 90.00 90.00
With the nearest neighbours (Å) after each atom.
Atoms (fractional coordinates):
Tb: 0.0000 0.0000 0.0000  2 C 2.43
Sc: 0.0000 0.5000 0.5000  2 C 2.26
Sc: 0.5000 0.0000 0.5000  2 C 2.26
Ga: 0.5000 0.5000 0.0000  4 Tb 3.20, 8 Sc 3.32
C: 0.0000 0.0000 0.5000  4 Sc 2.26, 2 Tb 2.43

=====

# AlAs

AlAs after structural relaxation (PBE, Alexandria via LeMat-Bulk).

The formation enthalpy at 0 K comes out at 0.2 eV per formula unit. As for the total magnetic moment: 0.0 μB/f.u.

Lattice parameters (Å, degrees): 2.8897 2.8897 9.2413 90.00 90.00 99.74
With the nearest neighbours (Å) after each atom.
Atoms (fractional coordinates):
Al: 0.2500 0.7500 0.8912  4 As 2.71-2.96, 8 Al 2.74-2.99
Al: 0.7500 0.2500 0.1088  4 As 2.71-2.96, 8 Al 2.74-2.99
As: 0.2500 0.7500 0.3219  4 Al 2.71-2.96, 4 As 2.89
As: 0.7500 0.2500 0.6781  4 Al 2.71-2.96, 4 As 2.89

=====

Number 1: E -30.31 eV for the cell shown. Number 2: E -41.45 eV for the cell shown. Number 3: E -25.75 eV for the cell shown. Number 4: E -35.86 eV for the cell shown. Number 5: E -22.81 eV for the cell shown. Number 6: E -20.86 eV for the cell shown. Number 7: E -16.15 eV for the cell shown. Number 8: E -28.95 eV for the cell shown. Number 9: E -32.38 eV for the cell shown. Number 10: E -16.41 eV for the cell shown.